Entry 1:
## Na2Sm2PtO6 (PBE)

Data for a relaxed structure of Na2Sm2PtO6.

Structure (POSCAR):
```
Na2Sm2PtO6
1.0
5.913 -0.057 0.219
-2.972 5.112 0.219
-0.893 -1.536 5.622
O Sm Na Pt
6 2 2 1
direct
0.246 0.246 0.294
0.754 0.754 0.706
0.344 0.034 0.691
0.656 0.966 0.309
0.034 0.344 0.691
0.966 0.656 0.309
0.662 0.338 0.500
0.338 0.662 0.500
0.864 0.136 0.000
0.136 0.864 0.000
0.000 0.000 0.500
```

Properties
N(E_F), states/eV/cell: 0.0
Total energy, eV per cell: -70.530

---

Entry 2:
## TbPuPtRh (PBE)

Data for a relaxed structure of TbPuPtRh.

Structure (POSCAR):
```
TbPuPtRh
1.0
3.794 0.000 0.000
0.000 4.220 0.000
-1.897 0.000 5.471
Pt Pu Rh Tb
1 1 1 1
direct
0.588 0.500 0.175
0.864 0.500 0.728
0.405 0.000 0.811
0.143 0.000 0.286
```

Properties
N(E_F), states/eV/cell: 11.4
Calculated formation energy, eV per atom: -0.841
ΔE to the lowest computed polymorph, meV/atom: 0.0
Total energy, eV per cell: -35.720

---

Entry 3:
## DyPu2Pa (PBE)

Data for a relaxed structure of DyPu2Pa.

Structure (POSCAR):
```
DyPu2Pa
1.0
4.552 0.000 0.000
0.000 4.794 0.000
0.000 0.000 4.794
Pu Pa Dy
2 1 1
direct
0.000 0.000 0.500
0.000 0.500 0.000
0.500 0.000 0.000
0.500 0.500 0.500
```

Properties
N(E_F), states/eV/cell: 11.6
Calculated formation energy, eV per atom: 0.243
ΔE to the lowest computed polymorph, meV/atom: 130.7
Total energy, eV per cell: -41.791

---

Entry 4:
## ClO8F6 (PBE)

Data for a relaxed structure of ClO8F6.

Structure (POSCAR):
```
ClO8F6
1.0
5.942 0.269 3.029
1.971 5.612 3.029
0.362 0.269 6.659
F O Cl
6 8 1
direct
0.068 0.068 0.678
0.932 0.932 0.322
0.322 0.932 0.932
0.678 0.068 0.068
0.932 0.322 0.932
0.068 0.678 0.068
0.598 0.598 0.253
0.681 0.681 0.681
0.747 0.402 0.402
0.402 0.747 0.402
0.319 0.319 0.319
0.598 0.253 0.598
0.402 0.402 0.747
0.253 0.598 0.598
0.000 0.000 0.000
```

Properties
N(E_F), states/eV/cell: 1.7
Total energy, eV per cell: -47.937

---

- Among the records above, which one has the highest N(E_F)?
  DyPu2Pa

---

- Among the records above, which one has the highest N(E_F)?
  DyPu2Pa